1.
VASP calculation (PBE-GGA) on a relaxed SrAg2P crystal.

Cell lengths 4.458, 4.354, 5.296 Å; angles 81.06, 90.00, 90.00 degrees
Fractional positions:
P 0.500 0.500 0.000
Ag 0.000 0.549 0.243
Ag 0.000 0.451 0.757
Sr 0.500 0.000 0.500

DFT formation energy ... -0.220 eV per atom
Density ... 5.47 g/cm³
V ... 25.39 Å³/atom
Total magnetization ... 0.0 μB per formula unit
Energy ... -13.7 eV per cell



2.
VASP calculation (PBE-GGA) on a relaxed Sr2AgP crystal.

Cell lengths 5.327, 5.327, 5.327 Å; angles 60.00, 60.00, 60.00 degrees
Fractional positions:
Sr 0.000 0.000 0.000
Sr 0.750 0.750 0.750
Ag 0.500 0.500 0.500
P 0.250 0.250 0.250

DFT formation energy ... -0.016 eV per atom
Density ... 4.88 g/cm³
V ... 26.73 Å³/atom
Total magnetization ... 0.0 μB per formula unit
Energy ... -11.7 eV per cell



3.
VASP calculation (PBE-GGA) on a relaxed Sr4Ag2P crystal.

Cell lengths 5.937, 5.937, 8.775 Å; angles 109.77, 109.77, 90.00 degrees
Fractional positions:
Ag 0.402 0.402 0.803
Ag 0.598 0.598 0.197
Sr 0.808 0.808 0.616
Sr 0.500 0.000 0.000
Sr 0.000 0.500 0.000
Sr 0.192 0.192 0.384
P 0.000 0.000 0.000

DFT formation energy ... -0.405 eV per atom
Density ... 3.65 g/cm³
V ... 38.80 Å³/atom
Total magnetization ... 0.0 μB per formula unit
Energy ... -20.7 eV per cell



Look up the DFT formation energy of the third one. -0.405 eV per atom



The lowest V belongs to which entry? SrAg2P



Which formula does entry 1 have? SrAg2P



What is the DFT formation energy in the third record? -0.405 eV per atom